(1)
This record from Alexandria describes BeInFe2 after structural relaxation. The functional is GGA-PBE.

formation energy = 21.41 kJ/mol of atoms
total energy = -22.50 eV per cell
offset from the most stable computed form = 71.0 meV/atom

Unit cell a=2.7027 b=3.9428 c=5.1354 alpha=90.00 beta=97.50 gamma=90.00
Space group Pm (No. 6)
Symmetry-distinct sites (fractional):
Be1 0.0000 0.0000 0.0000 (multiplicity 1)
In1 0.0481 0.5000 0.6599 (multiplicity 1)
Fe1 0.4668 0.0000 0.3834 (multiplicity 1)
Fe2 0.6393 0.5000 0.1403 (multiplicity 1)

***

(2)
This record from Alexandria describes BeInFe2 after structural relaxation. The functional is GGA-PBE.

formation energy = 19.03 kJ/mol of atoms
total energy = -45.20 eV per cell
offset from the most stable computed form = 46.4 meV/atom

Unit cell a=8.8650 b=3.2428 c=4.0601 alpha=90.00 beta=116.93 gamma=90.00
Space group C2/m (No. 12)
Symmetry-distinct sites (fractional):
Be1 0.0000 0.0000 0.0000 (multiplicity 2)
In1 0.0000 0.5000 0.5000 (multiplicity 2)
Fe1 0.2304 0.5000 0.2290 (multiplicity 4)